[1]
# NaCd4Bi

An optimized crystal structure of NaCd4Bi (GGA-PBE, Alexandria via LeMat-Bulk).

Cell: 6.003 6.003 6.003 Å, 60.00 60.00 60.00°
Sites, in units of the cell vectors:
Cd (0.126, 0.625, 0.625)
Cd (0.625, 0.625, 0.126)
Cd (0.625, 0.126, 0.625)
Cd (0.625, 0.625, 0.625)
Bi (0.000, 0.000, 0.000)
Na (0.250, 0.250, 0.250)

Computed properties:
E_form: -0.051 eV/atom
E above lowest polymorph: 0 meV/atom
Raw total energy: -9.16 eV/cell
Theoretical density: 7.40 g cm⁻³
Total magnetic moment: 0.00 μB per atom
Space group: F-43m (216)

[2]
# Te4PtW

An optimized crystal structure of Te4PtW (GGA-PBE, Alexandria via LeMat-Bulk).

Cell: 6.062 6.062 6.062 Å, 60.00 60.00 60.00°
Last column: magnetic moment on the atom in μB.
Sites, in units of the cell vectors:
Te (0.374, 0.374, 0.878)  -0.07
Te (0.374, 0.374, 0.374)  -0.07
Te (0.878, 0.374, 0.374)  -0.07
Te (0.374, 0.878, 0.374)  -0.07
W (0.750, 0.750, 0.750)  2.69
Pt (0.000, 0.000, 0.000)  -0.15

Computed properties:
Raw total energy: -22.28 eV/cell
Theoretical density: 9.37 g cm⁻³
Formation energy without anion corrections: 1.55 eV per atom
Total magnetic moment: 0.49 μB per atom
Space group: F-43m (216)

[3]
# RbHfVSn2

An optimized crystal structure of RbHfVSn2 (GGA-PBE, Alexandria via LeMat-Bulk).

Cell: 5.664 4.814 5.664 Å, 90.00 90.00 90.00°
Last column: magnetic moment on the atom in μB.
Sites, in units of the cell vectors:
Rb (0.000, 0.000, 0.000)  0.12
Sn (0.500, 0.000, 0.000)  -0.08
Sn (0.000, 0.000, 0.500)  -0.04
Hf (0.500, 0.500, 0.500)  0.15
V (0.000, 0.500, 0.000)  3.02

Computed properties:
E_form: 2.020 eV/atom
Raw total energy: -17.95 eV/cell
Theoretical density: 5.94 g cm⁻³
Total magnetic moment: 0.79 μB per atom
Space group: P4/mmm (123)

[4]
# KPtI6

An optimized crystal structure of KPtI6 (GGA-PBE, Alexandria via LeMat-Bulk).

Cell: 7.270 7.308 6.953 Å, 73.92 74.50 100.93°
Sites, in units of the cell vectors:
I (0.705, 0.702, 0.337)
I (0.295, 0.298, 0.663)
I (0.079, 0.744, 0.795)
I (0.742, 0.077, 0.795)
I (0.258, 0.923, 0.205)
I (0.921, 0.256, 0.205)
Pt (0.000, 0.000, 0.000)
K (0.500, 0.500, 0.000)

Computed properties:
E above lowest polymorph: 0 meV/atom
Raw total energy: -19.51 eV/cell
Theoretical density: 5.04 g cm⁻³
Formation energy without anion corrections: -0.38 eV per atom
Total magnetic moment: 0.00 μB per atom
Space group: P-1 (2)